[1]
The following is a DFT calculation (PBE) of HoInHg6 after structural relaxation.

**Offset from the most stable computed form**: 117 meV per atom

Cell lengths 8.342, 8.342, 6.111 Å; angles 46.96, 46.96, 60.00 degrees
Atoms (fractional coordinates):
Ho1 0.000 0.000 0.000
In1 0.500 0.500 0.500
Hg1 0.159 0.159 0.153
Hg2 0.159 0.530 0.153
Hg3 0.470 0.841 0.847
Hg4 0.841 0.470 0.847
Hg5 0.841 0.841 0.847
Hg6 0.530 0.159 0.153

[2]
The following is a DFT calculation (PBE) of Ho3InHg4 after structural relaxation.

**Offset from the most stable computed form**: 0 meV per atom

Cell lengths 5.134, 5.134, 9.196 Å; angles 73.79, 73.79, 60.00 degrees
Atoms (fractional coordinates):
Hg1 0.868 0.868 0.395
Hg2 0.379 0.379 0.862
Hg3 0.132 0.132 0.605
Hg4 0.621 0.621 0.138
Ho1 0.257 0.257 0.229
Ho2 0.743 0.743 0.771
Ho3 0.500 0.500 0.500
In1 0.000 0.000 0.000

| no. | spin magnetization (μB per atom) |
| --- | --- |
| 1 | 0.000 |
| 2 | 0.000 |